Below is a relaxed NbCu2Ni8 crystal, with properties calculated at the PBE-GGA level.

## Properties
Excess energy over the best structure of this formula in the dataset: 0.000 eV/atom
Energy of formation: 0.07 eV/atom
M_tot: 0.00 μB/f.u.

a = 4.330 Å, b = 6.556 Å, c = 7.002 Å
α = 62.08°, β = 72.01°, γ = 48.72°
Positions (direct):
Ni 0.749 0.504 0.000
Ni 0.765 0.370 0.732
Ni 0.235 0.897 0.732
Nb 0.500 0.000 0.000
Cu 0.000 0.317 0.367
Ni 0.500 0.803 0.395
Ni 0.500 0.197 0.605
Ni 0.251 0.496 0.000
Cu 0.000 0.683 0.633
Ni 0.235 0.630 0.268
Ni 0.765 0.103 0.268